No. 1
VASP calculation (PBE-GGA) on a relaxed CeZnGaCu crystal.

Geometry as POSCAR:
```
CeZnGaCu
1.0
6.6537 0.0000 0.0000
0.0000 6.6537 0.0000
0.0000 0.0000 6.6537
Ce Zn Ga Cu
4 4 4 4
Direct
0.0000 0.0000 0.0000
0.0000 0.5000 0.5000
0.5000 0.0000 0.5000
0.5000 0.5000 0.0000
0.2500 0.2500 0.7500
0.2500 0.7500 0.2500
0.7500 0.2500 0.2500
0.7500 0.7500 0.7500
0.0000 0.0000 0.5000
0.0000 0.5000 0.0000
0.5000 0.0000 0.0000
0.5000 0.5000 0.5000
0.2500 0.2500 0.2500
0.2500 0.7500 0.7500
0.7500 0.2500 0.7500
0.7500 0.7500 0.2500
```

Output
**Energy of formation**: -27.4 kJ per mole of atoms

No. 2
VASP calculation (PBE-GGA) on a relaxed Ce2ZnGa3Cu4 crystal.

Geometry as POSCAR:
```
Ce2ZnGa3Cu4
1.0
4.2463 0.0000 0.0000
0.0000 4.2463 0.0000
0.0000 0.0000 9.8895
Ce Zn Ga Cu
2 1 3 4
Direct
0.0000 0.5000 0.2449
0.5000 0.0000 0.7551
0.0000 0.0000 0.5000
0.0000 0.5000 0.8709
0.5000 0.0000 0.1291
0.5000 0.5000 0.5000
0.0000 0.0000 0.0000
0.0000 0.5000 0.6296
0.5000 0.0000 0.3704
0.5000 0.5000 0.0000
```

Output
**Energy of formation**: -33.2 kJ per mole of atoms

No. 3
VASP calculation (PBE-GGA) on a relaxed CeZrGaCu crystal.

Geometry as POSCAR:
```
CeZrGaCu
1.0
6.9203 0.0000 0.0000
0.0000 6.9203 0.0000
0.0000 0.0000 6.9203
Ce Zr Ga Cu
4 4 4 4
Direct
0.0000 0.0000 0.0000
0.0000 0.5000 0.5000
0.5000 0.0000 0.5000
0.5000 0.5000 0.0000
0.0000 0.0000 0.5000
0.0000 0.5000 0.0000
0.5000 0.0000 0.0000
0.5000 0.5000 0.5000
0.2500 0.2500 0.2500
0.2500 0.7500 0.7500
0.7500 0.2500 0.7500
0.7500 0.7500 0.2500
0.2500 0.2500 0.7500
0.2500 0.7500 0.2500
0.7500 0.2500 0.2500
0.7500 0.7500 0.7500
```

Output
**Energy of formation**: -18.6 kJ per mole of atoms

Ordered density of states at the Fermi level results: 0.966; 1.329; 2.030; unit states/eV per atom.